Computed, not measured: an optimized crystal structure of TaCdRh at the PBE-GGA level of DFT.

Its space group is P4/nmm. Its calculated volume is 18.04 Å³/atom. The calculation puts the total energy at -7.05 eV per atom. For the density of states at the Fermi level, the calculation gives 1.593 states/eV/f.u.

Cell lengths 3.1448, 3.1448, 10.9448 Å; angles 90.00, 90.00, 90.00 degrees
Closest atoms and distances in Å follow each position.
Fractional positions:
Ta  0.2500  0.2500  0.0847  4 Rh 2.67, 4 Ta 2.89
Ta  0.7500  0.7500  0.9153  4 Rh 2.67, 4 Ta 2.89
Cd  0.2500  0.2500  0.3943  4 Rh 2.93, 8 Cd 3.14-3.21
Cd  0.7500  0.7500  0.6057  4 Rh 2.93, 8 Cd 3.14-3.21
Rh  0.2500  0.2500  0.7798  4 Ta 2.67, 4 Cd 2.93
Rh  0.7500  0.7500  0.2202  4 Ta 2.67, 4 Cd 2.93